{"formula": "LiPRuS2", "functional": "GGA-PBE", "state": "relaxed", "formation_energy_uncorrected_mev_per_atom": 914, "magnetic_moment_mub_per_atom": 0.0273, "e_above_lowest_polymorph_ev_per_atom": 0.7308, "dft_energy_ev_per_atom": -4.0566, "spacegroup": "P4/mmm", "cell": [[4.286, 0.000, 0.000], [0.000, 4.286, 0.000], [0.000, 0.000, 4.117]], "species": ["Li", "P", "Ru", "S", "S"], "fractional_positions": [[0.000, 0.000, 0.000], [0.000, 0.000, 0.500], [0.500, 0.500, 0.500], [0.000, 0.500, 0.000], [0.500, 0.000, 0.000]]}

=====

{"formula": "Y2AlTl", "functional": "GGA-PBE", "state": "relaxed", "magnetic_moment_mub_per_atom": 0.0000, "formation_energy_ev_per_atom": -0.2160, "dft_energy_ev_per_atom": -4.9752, "spacegroup": "P2/m", "cell": [[5.187, 0.000, 0.000], [0.000, 3.654, 0.000], [-2.341, 0.000, 5.861]], "species": ["Y", "Y", "Al", "Tl"], "fractional_positions": [[0.000, 0.000, 0.000], [0.500, 0.500, 0.500], [0.000, 0.000, 0.500], [0.500, 0.500, 0.000]]}

=====

{"formula": "TaAl2As", "functional": "GGA-PBE", "state": "relaxed", "magnetic_moment_mub_per_atom": 0.0000, "formation_energy_ev_per_atom": -0.0111, "dft_energy_ev_per_atom": -6.0080, "spacegroup": "Cmm2", "cell": [[1.862, -2.268, 0.000], [1.862, 2.268, 0.000], [0.000, 0.000, 8.337]], "species": ["Ta", "Al", "Al", "As"], "fractional_positions": [[0.000, 0.000, 0.000], [0.000, 0.000, 0.517], [0.500, 0.500, 0.758], [0.500, 0.500, 0.234]]}

=====

{"formula": "BaFe2Br8", "functional": "GGA-PBE", "state": "relaxed", "formation_energy_uncorrected_mev_per_atom": -966, "magnetic_moment_mub_per_atom": 0.9090, "e_above_lowest_polymorph_ev_per_atom": 0.0000, "dft_energy_ev_per_atom": -3.8964, "spacegroup": "Pbca", "cell": [[11.622, 0.000, 0.000], [0.000, 22.004, 0.000], [0.000, 0.000, 13.507]], "species": ["Ba", "Ba", "Ba", "Ba", "Ba", "Ba", "Ba", "Ba", "Fe", "Fe", "Fe", "Fe", "Fe", "Fe", "Fe", "Fe", "Fe", "Fe", "Fe", "Fe", "Fe", "Fe", "Fe", "Fe", "Br", "Br", "Br", "Br", "Br", "Br", "Br", "Br", "Br", "Br", "Br", "Br", "Br", "Br", "Br", "Br", "Br", "Br", "Br", "Br", "Br", "Br", "Br", "Br", "Br", "Br", "Br", "Br", "Br", "Br", "Br", "Br", "Br", "Br", "Br", "Br", "Br", "Br", "Br", "Br", "Br", "Br", "Br", "Br", "Br", "Br", "Br", "Br", "Br", "Br", "Br", "Br", "Br", "Br", "Br", "Br", "Br", "Br", "Br", "Br", "Br", "Br", "Br", "Br"], "fractional_positions": [[0.159, 0.112, 0.030], [0.159, 0.388, 0.530], [0.341, 0.612, 0.030], [0.341, 0.888, 0.530], [0.659, 0.112, 0.470], [0.659, 0.388, 0.970], [0.841, 0.612, 0.470], [0.841, 0.888, 0.970], [0.103, 0.747, 0.472], [0.103, 0.753, 0.972], [0.225, 0.504, 0.272], [0.225, 0.996, 0.772], [0.275, 0.004, 0.272], [0.275, 0.496, 0.772], [0.397, 0.247, 0.472], [0.397, 0.253, 0.972], [0.603, 0.747, 0.028], [0.603, 0.753, 0.528], [0.725, 0.504, 0.228], [0.725, 0.996, 0.728], [0.775, 0.004, 0.228], [0.775, 0.496, 0.728], [0.897, 0.247, 0.028], [0.897, 0.253, 0.528], [0.051, 0.240, 0.141], [0.051, 0.260, 0.641], [0.054, 0.502, 0.371], [0.054, 0.998, 0.871], [0.084, 0.671, 0.084], [0.084, 0.829, 0.584], [0.100, 0.654, 0.561], [0.100, 0.846, 0.061], [0.159, 0.573, 0.840], [0.159, 0.927, 0.340], [0.183, 0.100, 0.281], [0.183, 0.400, 0.781], [0.186, 0.012, 0.604], [0.186, 0.488, 0.104], [0.223, 0.236, 0.888], [0.223, 0.264, 0.388], [0.277, 0.736, 0.888], [0.277, 0.764, 0.388], [0.314, 0.512, 0.604], [0.314, 0.988, 0.104], [0.317, 0.600, 0.281], [0.317, 0.900, 0.781], [0.341, 0.073, 0.840], [0.341, 0.427, 0.340], [0.400, 0.154, 0.561], [0.400, 0.346, 0.061], [0.416, 0.171, 0.084], [0.416, 0.329, 0.584], [0.446, 0.002, 0.371], [0.446, 0.498, 0.871], [0.449, 0.740, 0.141], [0.449, 0.760, 0.641], [0.551, 0.240, 0.359], [0.551, 0.260, 0.859], [0.554, 0.502, 0.129], [0.554, 0.998, 0.629], [0.584, 0.671, 0.416], [0.584, 0.829, 0.916], [0.600, 0.654, 0.939], [0.600, 0.846, 0.439], [0.659, 0.573, 0.660], [0.659, 0.927, 0.160], [0.683, 0.100, 0.219], [0.683, 0.400, 0.719], [0.686, 0.012, 0.896], [0.686, 0.488, 0.396], [0.723, 0.236, 0.612], [0.723, 0.264, 0.112], [0.777, 0.736, 0.612], [0.777, 0.764, 0.112], [0.814, 0.512, 0.896], [0.814, 0.988, 0.396], [0.817, 0.600, 0.219], [0.817, 0.900, 0.719], [0.841, 0.073, 0.660], [0.841, 0.427, 0.160], [0.900, 0.154, 0.939], [0.900, 0.346, 0.439], [0.916, 0.171, 0.416], [0.916, 0.329, 0.916], [0.946, 0.002, 0.129], [0.946, 0.498, 0.629], [0.949, 0.740, 0.359], [0.949, 0.760, 0.859]]}

=====

{"formula": "Cr3PtPb", "functional": "GGA-PBE", "state": "relaxed", "magnetic_moment_mub_per_atom": 2.3419, "formation_energy_ev_per_atom": 0.9488, "e_above_lowest_polymorph_ev_per_atom": 0.0000, "dft_energy_ev_per_atom": -6.7751, "spacegroup": "Pm-3m", "cell": [[4.911, 0.000, 0.000], [0.000, 4.911, 0.000], [0.000, 0.000, 4.911]], "species": ["Cr", "Cr", "Cr", "Pt", "Pb"], "fractional_positions": [[0.000, 0.000, 0.500], [0.000, 0.500, 0.000], [0.500, 0.000, 0.000], [0.000, 0.000, 0.000], [0.500, 0.500, 0.500]]}

=====

{"formula": "MgSbAsW2", "functional": "GGA-PBE", "state": "relaxed", "formation_energy_uncorrected_mev_per_atom": 1398, "magnetic_moment_mub_per_atom": 0.0000, "e_above_lowest_polymorph_ev_per_atom": 0.0000, "dft_energy_ev_per_atom": -5.8569, "spacegroup": "P4/mmm", "cell": [[4.681, 0.000, 0.000], [0.000, 4.681, 0.000], [0.000, 0.000, 5.375]], "species": ["Mg", "Sb", "As", "W", "W"], "fractional_positions": [[0.000, 0.000, 0.000], [0.500, 0.500, 0.000], [0.500, 0.500, 0.500], [0.000, 0.500, 0.500], [0.500, 0.000, 0.500]]}

=====

{"formula": "Nd12Sb6Ru", "functional": "GGA-PBE", "state": "relaxed", "formation_energy_uncorrected_mev_per_atom": -664, "magnetic_moment_mub_per_atom": 0.0000, "dft_energy_ev_per_atom": -5.4650, "spacegroup": "R-3", "cell": [[6.726, 3.883, 4.192], [-6.726, 3.883, 4.192], [0.000, -7.766, 4.192]], "species": ["Nd", "Nd", "Nd", "Nd", "Nd", "Nd", "Nd", "Nd", "Nd", "Nd", "Nd", "Nd", "Sb", "Sb", "Sb", "Sb", "Sb", "Sb", "Ru"], "fractional_positions": [[0.012, 0.685, 0.944], [0.056, 0.988, 0.315], [0.193, 0.421, 0.556], [0.315, 0.056, 0.988], [0.421, 0.556, 0.193], [0.444, 0.807, 0.579], [0.556, 0.193, 0.421], [0.579, 0.444, 0.807], [0.685, 0.944, 0.012], [0.807, 0.579, 0.444], [0.944, 0.012, 0.685], [0.988, 0.315, 0.056], [0.123, 0.644, 0.312], [0.312, 0.123, 0.644], [0.356, 0.688, 0.877], [0.644, 0.312, 0.123], [0.688, 0.877, 0.356], [0.877, 0.356, 0.688], [0.000, 0.000, 0.000]]}

=====

{"formula": "BaSr2Ac", "functional": "GGA-PBE", "state": "relaxed", "magnetic_moment_mub_per_atom": 0.0000, "formation_energy_ev_per_atom": 0.0564, "e_above_lowest_polymorph_ev_per_atom": 0.0091, "dft_energy_ev_per_atom": -2.2923, "spacegroup": "R-3m", "cell": [[2.089, 1.206, 13.949], [-2.089, 1.206, 13.949], [0.000, -2.412, 13.949]], "species": ["Ba", "Sr", "Sr", "Ac"], "fractional_positions": [[0.000, 0.000, 0.000], [0.247, 0.247, 0.247], [0.753, 0.753, 0.753], [0.500, 0.500, 0.500]]}